Material: Ca3PrSe4
Method: DFT, GGA-PBE
State: relaxed

Results
DOS at the Fermi energy = 0.34 states/eV per atom
SG = I4/mmm, No. 139
energy above the most stable polymorph in this dataset = 0.11 kcal/mol of atoms

Unit cell a=5.977 b=5.977 c=7.321 alpha=114.09 beta=114.09 gamma=90.00
Sites, in units of the cell vectors:
Ca 0.250 0.750 0.500
Se 0.000 0.500 0.000
Ca 0.500 0.500 0.000
Se 0.747 0.747 0.495
Se 0.500 0.000 0.000
Pr 0.000 0.000 0.000
Ca 0.750 0.250 0.500
Se 0.253 0.253 0.505